The following is a GGA-PBE calculation of an optimized crystal structure of SrMg2Br, from Alexandria via LeMat-Bulk.

```
4
Lattice="5.618 0.000 0.000 2.809 4.865 0.000 2.809 1.622 4.587" Properties=species:S:1:pos:R:3 pbc="T T T"
Mg 0.000 0.000 0.000
Mg 2.809 1.622 1.147
Br 5.618 3.243 2.293
Sr 8.426 4.865 3.440
```

Output
* formation energy (no corrections): -29 kJ per mole of atoms
* symmetry: F-43m
* VASP energy: -1.937 eV/atom
* D(E_F): 4.57 states/eV per cell